Entry 1:
Pr4In2S: relaxed, GGA-PBE.

Output
Uncorrected energy: -4.9433 eV/atom

POSCAR file:
```
Pr4In2S
1.0
6.520 -2.097 0.000
6.520 2.097 0.000
-5.116 0.000 7.848
Pr In S
4 2 1
direct
0.089 0.089 0.352 Pr
0.335 0.335 0.932 Pr
0.665 0.665 0.068 Pr
0.911 0.911 0.648 Pr
0.375 0.375 0.336 In
0.625 0.625 0.664 In
0.000 0.000 0.000 S
```

***

Entry 2:
Ru3Au: relaxed, GGA-PBE.

Output
Energy above the lowest structure with this stoichiometry: 15.94 kJ per mole of atoms

POSCAR file:
```
Ru3Au
1.0
4.432 0.000 0.000
0.000 5.497 0.000
0.000 0.000 4.884
Ru Au
6 2
direct
0.250 0.010 0.148 Ru
0.250 0.250 0.677 Ru
0.250 0.490 0.148 Ru
0.750 0.510 0.852 Ru
0.750 0.750 0.323 Ru
0.750 0.990 0.852 Ru
0.250 0.750 0.646 Au
0.750 0.250 0.354 Au
```

***

Entry 3:
Hf2ThGe2: relaxed, GGA-PBE.

Output
Uncorrected energy: -7.5652 eV/atom

POSCAR file:
```
Hf2ThGe2
1.0
4.737 -5.363 0.000
4.737 5.363 0.000
-4.606 0.000 4.963
Hf Th Ge
4 2 4
direct
0.024 0.270 0.037 Hf
0.270 0.024 0.537 Hf
0.730 0.976 0.463 Hf
0.976 0.730 0.963 Hf
0.375 0.625 0.750 Th
0.625 0.375 0.250 Th
0.097 0.903 0.750 Ge
0.343 0.657 0.250 Ge
0.657 0.343 0.750 Ge
0.903 0.097 0.250 Ge
```

***

Entry 4:
SnMo2S: relaxed, GGA-PBE.

Output
Energy above the lowest structure with this stoichiometry: 2.87 kJ per mole of atoms

POSCAR file:
```
SnMo2S
1.0
-2.122 2.122 8.640
2.122 -2.122 8.640
2.122 2.122 -8.640
Sn Mo S
2 4 2
direct
0.000 0.000 0.000 Sn
0.750 0.250 0.500 Sn
0.212 0.625 0.087 Mo
0.375 0.462 0.587 Mo
0.538 0.125 0.913 Mo
0.875 0.788 0.413 Mo
0.250 0.750 0.500 S
0.500 0.500 0.000 S
```

***

Entry 5:
Zn3Rh5: relaxed, GGA-PBE.

Output
Energy above the lowest structure with this stoichiometry: 15.77 kJ per mole of atoms

POSCAR file:
```
Zn3Rh5
1.0
7.262 0.000 0.000
-3.631 6.289 0.000
0.000 0.000 5.051
Zn Rh
6 10
direct
0.000 0.403 0.250 Zn
0.000 0.597 0.750 Zn
0.403 0.000 0.250 Zn
0.403 0.403 0.750 Zn
0.597 0.000 0.750 Zn
0.597 0.597 0.250 Zn
0.000 0.224 0.750 Rh
0.000 0.776 0.250 Rh
0.224 0.000 0.750 Rh
0.224 0.224 0.250 Rh
0.333 0.667 0.000 Rh
0.333 0.667 0.500 Rh
0.667 0.333 0.000 Rh
0.667 0.333 0.500 Rh
0.776 0.000 0.250 Rh
0.776 0.776 0.750 Rh
```

***

Entry 6:
SiAgW3: relaxed, GGA-PBE.

Output
Energy above the lowest structure with this stoichiometry: 0.00 kJ per mole of atoms

POSCAR file:
```
SiAgW3
1.0
4.512 0.000 0.000
0.000 4.512 0.000
0.000 0.000 4.512
Si Ag W
1 1 3
direct
0.000 0.000 0.000 Si
0.500 0.500 0.500 Ag
0.000 0.000 0.500 W
0.000 0.500 0.000 W
0.500 0.000 0.000 W
```